YSbPb2 after structural relaxation, computed with PBEsol. Values from VASP.

Calculated values
Magnetic moment in μB/atom: 0.00
Uncorrected formation energy in eV/atom: -0.427
Symmetry: I4/mmm, No. 139

Quantum ESPRESSO input file:
```
&SYSTEM
  ibrav = 0, nat = 4, ntyp = 3
/
ATOMIC_SPECIES
Pb 207.20 Pb.upf
Y 88.91 Y.upf
Sb 121.76 Sb.upf
ATOMIC_POSITIONS angstrom
Pb 0.771 -0.567 3.399
Pb -0.529 -2.980 1.820
Y 0.000 0.000 0.000
Sb -2.433 -0.013 2.023
CELL_PARAMETERS angstrom
-1.133 2.401 3.602
-3.734 -2.426 0.443
5.108 -3.521 1.174
```